VASP calculation (PBE) on an optimized crystal structure of Li2TaRu.

a = 5.3252 Å, b = 5.3252 Å, c = 5.3252 Å
α = 140.42°, β = 140.42°, γ = 57.22°
Fractional coordinates of all 4 atoms:
1 Li 0.0000 0.0000 0.0000
2 Li 0.5000 0.5000 0.0000
3 Ru 0.2500 0.7500 0.5000
4 Ta 0.7500 0.2500 0.5000

DOS at the Fermi energy (states/eV/cell): 2.027
ΔE_f (eV per atom): 0.089
Polymorph energy (0 for the lowest one) (meV/atom): 1

VASP calculation (PBE) on an optimized crystal structure of PmGd2Pb.

a = 4.1772 Å, b = 4.1772 Å, c = 7.0924 Å
α = 90.00°, β = 90.00°, γ = 90.00°
Fractional coordinates of all 4 atoms:
1 Pb 0.5000 0.5000 0.0000
2 Gd 0.0000 0.0000 0.7737
3 Gd 0.0000 0.0000 0.2263
4 Pm 0.5000 0.5000 0.5000

DOS at the Fermi energy (states/eV/cell): 6.176
ΔE_f (eV per atom): -0.232
Polymorph energy (0 for the lowest one) (meV/atom): 100

VASP calculation (PBE) on an optimized crystal structure of ScBeCu2P.

a = 3.9732 Å, b = 4.8787 Å, c = 3.9732 Å
α = 90.00°, β = 90.00°, γ = 90.00°
Fractional coordinates of all 5 atoms:
1 Sc 0.0000 0.5000 0.0000
2 P 0.5000 0.5000 0.5000
3 Cu 0.0000 0.0000 0.5000
4 Cu 0.5000 0.0000 0.0000
5 Be 0.0000 0.0000 0.0000

DOS at the Fermi energy (states/eV/cell): 2.213
ΔE_f (eV per atom): 0.151